A plane-wave DFT calculation with PBE was carried out for crystalline CaLa2Au at its relaxed geometry.

Values from the calculation:
Crystal system   monoclinic
Theoretical density   6.7 g/cm3
Total energy   -4.10 eV per atom
ΔE to the lowest computed polymorph   60 meV/atom

Cell lengths 6.7707, 6.7707, 5.6697 Å; angles 114.75, 114.75, 33.30 degrees
Element x y z (fractional)
Ca1 0.0000 0.0000 0.0000
La1 0.2024 0.2024 0.7029
La2 0.4093 0.4093 0.4092
Au1 0.7006 0.7006 0.2030